# 1
DFT (GGA-PBE) results for a relaxed structure of In3HgIr.

```
In3HgIr
1.0
-2.678 2.678 10.966
2.678 -2.678 10.966
2.678 2.678 -10.966
In Hg Ir
6 2 2
direct
0.190 0.190 0.000
0.372 0.127 0.755
0.372 0.617 0.245
0.383 0.628 0.755
0.810 0.810 0.000
0.873 0.628 0.245
0.250 0.750 0.500
0.500 0.500 0.000
0.692 0.192 0.500
0.808 0.308 0.500
```

Its total energy is -3.025 eV/atom. As for the symmetry: I-4m2, No. 119.

# 2
DFT (GGA-PBE) results for a relaxed structure of In2HgIr.

```
In2HgIr
1.0
4.577 0.000 0.000
0.000 4.577 0.000
0.000 0.000 3.813
In Hg Ir
2 1 1
direct
0.000 0.500 0.000
0.500 0.000 0.000
0.000 0.000 0.500
0.500 0.500 0.500
```

Its total energy is -3.389 eV/atom. As for the symmetry: P4/mmm, No. 123.

| no. | DOS at the Fermi energy (states/eV per atom) |
| --- | --- |
| 1 | 0.759 |
| 2 | 0.359 |